Record 1
Ac2Zn2Ag3 | GGA-PBE | relaxed

Results
Crystal system = monoclinic
Spin magnetization = 0.0 μB/f.u.
Total DFT energy (no corrections) = -3.017 eV per atom
Formation enthalpy at 0 K = -0.26 eV per atom
E above lowest polymorph = 7.8 meV/atom

```
Ac2Zn2Ag3
1.0
4.516 0.000 0.000
-2.258 5.526 -0.087
0.000 -2.650 6.909
Ag Zn Ac
3 2 2
Direct
0.383 0.765 0.575
0.617 0.235 0.425
0.500 0.000 0.000
0.150 0.300 0.228
0.850 0.700 0.772
0.859 0.717 0.232
0.141 0.283 0.768
```

Record 2
Ho2CuIrO6 | GGA-PBE | relaxed

Results
Crystal system = trigonal
Spin magnetization = 1.8 μB/f.u.
Total DFT energy (no corrections) = -7.231 eV per atom
E_form (uncorrected) = -2.045 eV per atom

```
Ho2CuIrO6
1.0
-1.142 -4.205 3.376
1.664 -5.096 -1.284
4.254 -2.352 3.011
O Ir Cu Ho
6 1 1 2
Direct
0.108 0.442 0.767
0.442 0.683 0.767
0.588 0.195 0.255
0.195 0.962 0.255
0.683 0.108 0.767
0.962 0.588 0.255
0.321 0.321 0.038
0.805 0.805 0.585
0.026 0.026 0.923
0.532 0.532 0.404
```

Record 3
K3SmGa3B12S12I | GGA-PBE | relaxed

Results
Crystal system = hexagonal
Spin magnetization = 0.0 μB/f.u.
Total DFT energy (no corrections) = -5.452 eV per atom
E_form (uncorrected) = -0.818 eV per atom

```
K3SmGa3B12S12I
1.0
9.356 0.000 0.000
0.000 13.038 0.000
0.000 -6.519 11.291
S B Ga K I Sm
24 24 6 6 2 2
Direct
0.321 0.931 0.606
0.447 0.492 0.652
0.179 0.394 0.069
0.553 0.652 0.492
0.553 0.840 0.348
0.179 0.674 0.606
0.947 0.840 0.492
0.947 0.652 0.160
0.947 0.508 0.348
0.679 0.326 0.394
0.821 0.326 0.931
0.053 0.348 0.508
0.679 0.606 0.931
0.321 0.674 0.069
0.053 0.492 0.840
0.821 0.606 0.674
0.053 0.160 0.652
0.679 0.069 0.674
0.321 0.394 0.326
0.821 0.069 0.394
0.179 0.931 0.326
0.553 0.508 0.160
0.447 0.348 0.840
0.447 0.160 0.508
0.716 0.463 0.795
0.784 0.463 0.668
0.894 0.411 0.747
0.394 0.589 0.253
0.606 0.336 0.747
0.394 0.747 0.336
0.106 0.664 0.253
0.784 0.332 0.795
0.716 0.205 0.668
0.284 0.537 0.332
0.894 0.253 0.664
0.216 0.537 0.205
0.606 0.411 0.664
0.716 0.332 0.537
0.284 0.668 0.205
0.394 0.664 0.411
0.606 0.253 0.589
0.784 0.205 0.537
0.216 0.668 0.463
0.106 0.747 0.411
0.894 0.336 0.589
0.284 0.795 0.463
0.216 0.795 0.332
0.106 0.589 0.336
0.500 0.540 0.000
0.000 0.540 0.540
0.500 0.000 0.540
0.000 0.000 0.460
0.500 0.460 0.460
0.000 0.460 0.000
0.500 0.219 0.000
0.000 0.000 0.781
0.500 0.781 0.781
0.500 0.000 0.219
0.000 0.781 0.000
0.000 0.219 0.219
0.750 0.000 0.000
0.250 0.000 0.000
0.750 0.667 0.333
0.250 0.333 0.667
```

Record 4
VCrGe2 | GGA-PBE | relaxed

Results
Crystal system = trigonal
Spin magnetization = 2.2 μB/f.u.
Total DFT energy (no corrections) = -6.937 eV per atom
Formation enthalpy at 0 K = 0.06 eV per atom
E above lowest polymorph = 126.5 meV/atom

```
VCrGe2
1.0
2.863 0.000 0.000
1.431 2.479 0.000
1.431 0.826 8.059
Ge Cr V
2 1 1
Direct
0.082 0.082 0.754
0.252 0.252 0.245
0.666 0.666 0.003
0.501 0.501 0.497
```

Record 5
HfMgCoB2 | GGA-PBE | relaxed

Results
Crystal system = tetragonal
Spin magnetization = 0.0 μB/f.u.
Total DFT energy (no corrections) = -5.841 eV per atom
Formation enthalpy at 0 K = 0.56 eV per atom

```
HfMgCoB2
1.0
3.890 0.000 0.000
0.000 4.245 0.000
0.000 0.000 3.890
Mg Hf B Co
1 1 2 1
Direct
0.000 0.500 0.000
0.500 0.500 0.500
0.500 0.000 0.000
0.000 0.000 0.500
0.000 0.000 0.000
```

Record 6
NaTiAlRh2 | GGA-PBE | relaxed

Results
Crystal system = tetragonal
Spin magnetization = 1.5 μB/f.u.
Total DFT energy (no corrections) = -5.021 eV per atom
Formation enthalpy at 0 K = 0.51 eV per atom

```
NaTiAlRh2
1.0
-2.409 3.867 0.083
-2.302 -1.347 -4.028
-3.201 -2.048 2.514
Rh Ti Al Na
2 1 1 1
Direct
0.000 0.000 0.500
0.500 0.000 0.000
0.000 0.500 0.000
0.000 0.000 0.000
0.500 0.500 0.500
```

Record 7
TmZr2Ti | GGA-PBE | relaxed

Results
Crystal system = trigonal
Spin magnetization = 0.0 μB/f.u.
Total DFT energy (no corrections) = -7.234 eV per atom
Formation enthalpy at 0 K = 0.13 eV per atom
E above lowest polymorph = 15.5 meV/atom

```
TmZr2Ti
1.0
-3.213 -0.098 0.135
-1.557 -2.727 -0.702
-1.087 -3.781 9.731
Zr Ti Tm
2 1 1
Direct
0.077 0.077 0.769
0.257 0.257 0.230
0.667 0.667 0.000
0.500 0.500 0.501
```

Record 8
BaMg2CoSi | GGA-PBE | relaxed

Results
Crystal system = tetragonal
Spin magnetization = 0.0 μB/f.u.
Total DFT energy (no corrections) = -3.684 eV per atom
E_form (uncorrected) = -0.156 eV per atom

```
BaMg2CoSi
1.0
-1.423 4.784 0.034
-4.771 -1.422 0.357
0.317 0.062 4.481
Co Mg Si Ba
1 2 1 1
Direct
0.000 0.000 0.000
0.000 0.500 0.000
0.500 0.000 0.000
0.000 0.000 0.500
0.500 0.500 0.500
```

Record 9
PmPrZnAu | GGA-PBE | relaxed

Results
Crystal system = tetragonal
Spin magnetization = 0.0 μB/f.u.
Total DFT energy (no corrections) = -4.061 eV per atom
Formation enthalpy at 0 K = -0.54 eV per atom
E above lowest polymorph = 0.0 meV/atom

```
PmPrZnAu
1.0
-0.551 3.476 1.260
-1.530 0.945 -3.277
-6.526 -1.937 2.488
Au Zn Pm Pr
1 1 1 1
Direct
0.500 0.500 0.117
0.500 0.500 0.600
0.000 0.000 0.358
0.000 0.000 0.853
```

Record 10
Re2Os | GGA-PBE | relaxed

Results
Crystal system = monoclinic
Spin magnetization = 0.0 μB/f.u.
Total DFT energy (no corrections) = -11.640 eV per atom
Formation enthalpy at 0 K = 0.40 eV per atom
E above lowest polymorph = 476.5 meV/atom

```
Re2Os
1.0
-1.290 3.591 -2.402
0.142 -1.495 -2.311
-7.012 -3.213 -1.037
Os Re
2 4
Direct
0.000 0.808 0.186
0.000 0.192 0.814
0.500 0.237 0.315
0.500 0.763 0.685
0.000 0.000 0.500
0.500 0.000 0.000
```

Record 11
KYN2 | GGA-PBE | relaxed

Results
Crystal system = tetragonal
Spin magnetization = 2.0 μB/f.u.
Total DFT energy (no corrections) = -6.009 eV per atom
E_form (uncorrected) = 0.045 eV per atom
E above lowest polymorph = 22.8 meV/atom

```
KYN2
1.0
5.978 0.000 0.000
0.000 5.978 0.000
2.989 2.989 5.445
N K Y
4 2 2
Direct
0.038 0.625 0.250
0.712 0.125 0.250
0.375 0.288 0.750
0.875 0.962 0.750
0.500 0.500 0.000
0.250 0.750 0.500
0.750 0.250 0.500
0.000 0.000 0.000
```

Record 12
NiAgP2 | GGA-PBE | relaxed

Results
Crystal system = monoclinic
Spin magnetization = 0.0 μB/f.u.
Total DFT energy (no corrections) = -4.940 eV per atom
Formation enthalpy at 0 K = -0.08 eV per atom
E above lowest polymorph = 0.0 meV/atom

```
NiAgP2
1.0
-1.458 -2.182 -2.633
2.024 -2.248 -2.161
-0.021 -8.280 -1.009
Ag P Ni
1 2 1
Direct
0.750 0.750 0.750
0.095 0.095 0.080
0.405 0.405 0.420
0.250 0.250 0.250
```

Record 13
NaAlTe2O6 | GGA-PBE | relaxed

Results
Crystal system = monoclinic
Spin magnetization = 0.0 μB/f.u.
Total DFT energy (no corrections) = -5.758 eV per atom
E_form (uncorrected) = -1.648 eV per atom

```
NaAlTe2O6
1.0
5.634 -0.476 -0.494
1.379 7.959 -1.811
1.379 -2.104 7.886
Na O Te Al
2 12 4 2
Direct
0.750 0.085 0.915
0.250 0.915 0.085
0.008 0.212 0.147
0.878 0.955 0.303
0.014 0.416 0.784
0.486 0.216 0.584
0.986 0.584 0.216
0.492 0.853 0.788
0.122 0.045 0.697
0.514 0.784 0.416
0.992 0.788 0.853
0.622 0.697 0.045
0.378 0.303 0.955
0.508 0.147 0.212
0.713 0.196 0.385
0.213 0.385 0.196
0.787 0.615 0.804
0.287 0.804 0.615
0.750 0.752 0.248
0.250 0.248 0.752
```

Record 14
KRb3I2O9 | GGA-PBE | relaxed

Results
Crystal system = trigonal
Spin magnetization = 1.1 μB/f.u.
Total DFT energy (no corrections) = -4.314 eV per atom
E_form (uncorrected) = -0.865 eV per atom

```
KRb3I2O9
1.0
6.140 0.000 0.000
-3.070 5.317 0.000
0.000 0.000 7.843
O Rb I K
9 3 2 1
Direct
0.000 0.500 0.000
0.186 0.814 0.284
0.500 0.500 0.000
0.500 0.000 0.000
0.814 0.186 0.716
0.814 0.627 0.716
0.373 0.186 0.716
0.627 0.814 0.284
0.186 0.373 0.284
0.000 0.000 0.000
0.667 0.333 0.332
0.333 0.667 0.668
0.667 0.333 0.841
0.333 0.667 0.159
0.000 0.000 0.500
```

Record 15
HfW3N | GGA-PBE | relaxed

Results
Crystal system = cubic
Spin magnetization = 0.0 μB/f.u.
Total DFT energy (no corrections) = -7.717 eV per atom
E_form (uncorrected) = 3.711 eV per atom
E above lowest polymorph = 3753.7 meV/atom

```
HfW3N
1.0
4.789 0.000 0.000
0.000 4.789 0.000
0.000 0.000 4.789
N W Hf
1 3 1
Direct
0.500 0.500 0.500
0.000 0.500 0.000
0.500 0.000 0.000
0.000 0.000 0.500
0.000 0.000 0.000
```

Record 16
Ca2GaSi3Ir4 | GGA-PBE | relaxed

Results
Crystal system = tetragonal
Spin magnetization = 0.0 μB/f.u.
Total DFT energy (no corrections) = -6.719 eV per atom
E_form (uncorrected) = -0.844 eV per atom

```
Ca2GaSi3Ir4
1.0
4.158 0.000 0.000
0.000 4.158 0.000
0.000 0.000 10.045
Ga Ir Si Ca
1 4 3 2
Direct
0.500 0.500 0.500
0.000 0.500 0.364
0.000 0.000 0.000
0.500 0.000 0.636
0.500 0.500 0.000
0.000 0.000 0.500
0.000 0.500 0.125
0.500 0.000 0.875
0.500 0.000 0.248
0.000 0.500 0.752
```

Record 17
Tm2GaCo4Ge3 | GGA-PBE | relaxed

Results
Crystal system = tetragonal
Spin magnetization = 0.0 μB/f.u.
Total DFT energy (no corrections) = -5.966 eV per atom
Formation enthalpy at 0 K = -0.54 eV per atom

```
Tm2GaCo4Ge3
1.0
-2.312 -2.960 1.305
1.913 -2.545 -2.382
6.454 -1.874 7.186
Co Ga Ge Tm
4 1 3 2
Direct
0.000 0.000 0.000
0.500 0.000 0.635
0.000 0.500 0.365
0.500 0.500 0.000
0.500 0.500 0.500
0.000 0.500 0.130
0.500 0.000 0.870
0.000 0.000 0.500
0.000 0.500 0.750
0.500 0.000 0.250
```

Record 18
Pu2InSb | GGA-PBE | relaxed

Results
Crystal system = tetragonal
Spin magnetization = 11.6 μB/f.u.
Total DFT energy (no corrections) = -9.233 eV per atom
E_form (uncorrected) = -0.352 eV per atom
E above lowest polymorph = 45.6 meV/atom

```
Pu2InSb
1.0
-2.941 -1.012 1.325
-0.269 -2.363 -2.403
4.441 -5.925 5.330
In Sb Pu
1 1 2
Direct
0.500 0.500 0.500
0.500 0.500 0.000
0.000 0.000 0.241
0.000 0.000 0.759
```

Record 19
TmTlHgAu | GGA-PBE | relaxed

Results
Crystal system = cubic
Spin magnetization = 0.0 μB/f.u.
Total DFT energy (no corrections) = -2.976 eV per atom
Formation enthalpy at 0 K = -0.37 eV per atom

```
TmTlHgAu
1.0
5.078 0.000 0.000
2.539 4.397 0.000
2.539 1.466 4.146
Hg Tl Au Tm
1 1 1 1
Direct
0.500 0.500 0.500
0.250 0.250 0.250
0.000 0.000 0.000
0.750 0.750 0.750
```

Record 20
Ce3Zn9Ni2 | GGA-PBE | relaxed

Results
Crystal system = orthorhombic
Spin magnetization = 1.7 μB/f.u.
Total DFT energy (no corrections) = -3.199 eV per atom
Formation enthalpy at 0 K = -0.28 eV per atom

```
Ce3Zn9Ni2
1.0
4.456 0.000 0.000
2.228 7.618 0.214
2.228 1.935 7.371
Ce Zn Ni
3 9 2
Direct
0.000 0.000 0.000
0.300 0.700 0.700
0.700 0.300 0.300
0.349 0.008 0.295
0.129 0.156 0.587
0.000 0.500 0.500
0.871 0.844 0.413
0.651 0.705 0.992
0.129 0.587 0.156
0.871 0.413 0.844
0.349 0.295 0.008
0.651 0.992 0.705
0.500 0.663 0.337
0.500 0.337 0.663
```